# 1
{"formula": "HoVO4", "functional": "PBEsol", "state": "relaxed", "lattice": [[5.890, -0.015, 0.000], [-2.596, 5.287, 0.000], [-1.647, -2.636, 5.003]], "species": ["Ho", "Ho", "V", "V", "O", "O", "O", "O", "O", "O", "O", "O"], "frac_coords": [[0.000, 0.000, 0.000], [0.250, 0.750, 0.500], [0.750, 0.250, 0.500], [0.500, 0.500, 0.000], [0.388, 0.074, 0.314], [0.324, 0.509, 0.186], [0.324, 0.138, 0.814], [0.759, 0.074, 0.686], [0.862, 0.676, 0.186], [0.926, 0.241, 0.314], [0.926, 0.612, 0.686], [0.491, 0.676, 0.814]], "vol_a3_per_atom": 12.97, "n_ef_per_ev_cell": 0.00, "e_tot_ha_per_atom": -0.3306, "crystal_system": "tetragonal"}

=====

# 2
{"formula": "KPb2Se", "functional": "PBEsol", "state": "relaxed", "lattice": [[3.762, 0.000, 0.000], [0.000, 5.274, 0.000], [-1.881, -2.637, 5.942]], "species": ["K", "Pb", "Pb", "Se"], "frac_coords": [[0.000, 0.500, 0.000], [0.795, 0.795, 0.591], [0.205, 0.205, 0.409], [0.500, 0.000, 0.000]], "vol_a3_per_atom": 29.47, "n_ef_per_ev_cell": 1.18, "e_tot_ha_per_atom": -0.1338, "crystal_system": "orthorhombic"}

=====

# 3
{"formula": "AgBr2", "functional": "PBEsol", "state": "relaxed", "lattice": [[3.815, 0.000, 0.000], [1.907, 3.539, 0.000], [1.907, 0.000, 6.046]], "species": ["Ag", "Br", "Br"], "frac_coords": [[0.500, 0.000, 0.000], [0.142, 0.000, 0.717], [0.858, 0.000, 0.283]], "vol_a3_per_atom": 27.21, "n_ef_per_ev_cell": 2.04, "e_tot_ha_per_atom": -0.0927, "crystal_system": "orthorhombic"}

=====

# 4
{"formula": "Ho2CuRh", "functional": "PBEsol", "state": "relaxed", "lattice": [[-0.295, -2.241, -4.202], [3.599, -2.753, -1.493], [-0.524, -4.740, -0.144]], "species": ["Rh", "Ho", "Ho", "Cu"], "frac_coords": [[0.500, 0.500, 0.500], [0.250, 0.250, 0.250], [0.750, 0.750, 0.750], [0.000, 0.000, 0.000]], "formation_enthalpy_0k_ev_per_atom": -0.56, "vol_a3_per_atom": 19.20, "n_ef_per_ev_cell": 2.33, "crystal_system": "cubic"}

=====

# 5
{"formula": "GdAu2", "functional": "PBEsol", "state": "relaxed", "lattice": [[3.702, 0.000, 0.000], [0.000, 3.702, 0.000], [-1.851, -1.851, 4.501]], "species": ["Gd", "Au", "Au"], "frac_coords": [[0.000, 0.000, 0.000], [0.333, 0.333, 0.666], [0.667, 0.667, 0.334]], "formation_enthalpy_0k_ev_per_atom": -0.82, "vol_a3_per_atom": 20.56, "n_ef_per_ev_cell": 1.38, "crystal_system": "tetragonal"}

=====

# 6
{"formula": "Mg3Si4Ag2O14", "functional": "PBEsol", "state": "relaxed", "lattice": [[7.680, 0.000, 0.000], [3.840, 8.692, 0.017], [3.840, 2.889, 8.366]], "species": ["Mg", "Mg", "Mg", "Mg", "Mg", "Mg", "Si", "Si", "Si", "Si", "Si", "Si", "Si", "Si", "Ag", "Ag", "Ag", "Ag", "O", "O", "O", "O", "O", "O", "O", "O", "O", "O", "O", "O", "O", "O", "O", "O", "O", "O", "O", "O", "O", "O", "O", "O", "O", "O", "O", "O"], "frac_coords": [[0.944, 0.460, 0.873], [0.278, 0.040, 0.627], [0.722, 0.960, 0.373], [0.608, 0.750, 0.250], [0.056, 0.540, 0.127], [0.392, 0.250, 0.750], [0.428, 0.324, 0.299], [0.948, 0.824, 0.799], [0.509, 0.872, 0.891], [0.728, 0.372, 0.391], [0.052, 0.176, 0.201], [0.491, 0.128, 0.109], [0.272, 0.628, 0.609], [0.572, 0.676, 0.701], [0.224, 0.750, 0.250], [0.776, 0.250, 0.750], [0.000, 0.000, 0.000], [0.000, 0.500, 0.500], [0.196, 0.464, 0.690], [0.032, 0.265, 0.595], [0.527, 0.183, 0.916], [0.107, 0.765, 0.095], [0.797, 0.552, 0.699], [0.912, 0.209, 0.370], [0.374, 0.683, 0.416], [0.047, 0.948, 0.801], [0.088, 0.791, 0.630], [0.426, 0.583, 0.712], [0.968, 0.735, 0.405], [0.203, 0.448, 0.301], [0.491, 0.291, 0.130], [0.650, 0.964, 0.190], [0.280, 0.083, 0.212], [0.953, 0.052, 0.199], [0.054, 0.346, 0.059], [0.574, 0.417, 0.288], [0.460, 0.154, 0.441], [0.720, 0.917, 0.788], [0.509, 0.709, 0.870], [0.893, 0.235, 0.905], [0.540, 0.846, 0.559], [0.473, 0.817, 0.084], [0.946, 0.654, 0.941], [0.626, 0.317, 0.584], [0.350, 0.036, 0.810], [0.804, 0.536, 0.310]], "vol_a3_per_atom": 12.13, "e_tot_ha_per_atom": -0.2515, "crystal_system": "monoclinic"}